Entry 1:
The following is a GGA+U calculation of an optimized crystal structure of MnCrBF2, from the Alexandria database. Values from VASP.

**DFT total energy**: -5.19 eV per atom
**Space-group type**: P4/mmm
**Total moment**: 4.514 μB/f.u.

Cell and atoms, written as Quantum ESPRESSO input:
```
&SYSTEM
  ibrav = 0, nat = 5, ntyp = 4
/
ATOMIC_SPECIES
Cr 52.00 Cr.upf
B 10.81 B.upf
Mn 54.94 Mn.upf
F 19.00 F.upf
CELL_PARAMETERS angstrom
3.7524 0.0000 0.0000
0.0000 6.1553 0.0000
0.0000 0.0000 3.7524
ATOMIC_POSITIONS crystal
Cr 0.0000 0.0000 0.0000
B 0.5000 0.5000 0.5000
Mn 0.0000 0.5000 0.0000
F 0.0000 0.0000 0.5000
F 0.5000 0.0000 0.0000
```

=====

Entry 2:
The following is a GGA+U calculation of an optimized crystal structure of CrBN2F, from the Alexandria database. Values from VASP.

**Energy relative to the lowest polymorph listed for this composition**: 0 meV/atom
**Space-group type**: P4/mmm
**Total moment**: 3.555 μB/f.u.

Cell and atoms, written as Quantum ESPRESSO input:
```
&SYSTEM
  ibrav = 0, nat = 5, ntyp = 4
/
ATOMIC_SPECIES
Cr 52.00 Cr.upf
B 10.81 B.upf
N 14.01 N.upf
F 19.00 F.upf
CELL_PARAMETERS angstrom
3.2292 0.0000 0.0000
0.0000 3.2292 0.0000
0.0000 0.0000 4.1545
ATOMIC_POSITIONS crystal
Cr 0.5000 0.5000 0.5000
B 0.0000 0.0000 0.0000
N 0.0000 0.5000 0.0000
N 0.5000 0.0000 0.0000
F 0.0000 0.0000 0.5000
```

=====

Entry 3:
The following is a GGA+U calculation of an optimized crystal structure of CrBN2F, from the Alexandria database. Values from VASP.

**Energy relative to the lowest polymorph listed for this composition**: 815 meV/atom
**Space-group type**: P4/mmm
**Total moment**: 0.043 μB/f.u.

Cell and atoms, written as Quantum ESPRESSO input:
```
&SYSTEM
  ibrav = 0, nat = 5, ntyp = 4
/
ATOMIC_SPECIES
Cr 52.00 Cr.upf
B 10.81 B.upf
N 14.01 N.upf
F 19.00 F.upf
CELL_PARAMETERS angstrom
3.8251 0.0000 0.0000
0.0000 3.8251 0.0000
0.0000 0.0000 3.9335
ATOMIC_POSITIONS crystal
Cr 0.0000 0.0000 0.0000
B 0.5000 0.5000 0.5000
N 0.0000 0.5000 0.0000
N 0.5000 0.0000 0.0000
F 0.0000 0.0000 0.5000
```

=====

Copy entry 1 word for word.
The following is a GGA+U calculation of an optimized crystal structure of MnCrBF2, from the Alexandria database. Values from VASP.

**DFT total energy**: -5.19 eV per atom
**Space-group type**: P4/mmm
**Total moment**: 4.514 μB/f.u.

Cell and atoms, written as Quantum ESPRESSO input:
```
&SYSTEM
  ibrav = 0, nat = 5, ntyp = 4
/
ATOMIC_SPECIES
Cr 52.00 Cr.upf
B 10.81 B.upf
Mn 54.94 Mn.upf
F 19.00 F.upf
CELL_PARAMETERS angstrom
3.7524 0.0000 0.0000
0.0000 6.1553 0.0000
0.0000 0.0000 3.7524
ATOMIC_POSITIONS crystal
Cr 0.0000 0.0000 0.0000
B 0.5000 0.5000 0.5000
Mn 0.0000 0.5000 0.0000
F 0.0000 0.0000 0.5000
F 0.5000 0.0000 0.0000
```